# 1
! PmCd2Ag9, optimized geometry, DFT GGA-PBE; values from VASP
&SYSTEM
  ibrav = 0, nat = 12, ntyp = 3
/
ATOMIC_SPECIES
Pm 145.00 Pm.upf
Cd 112.41 Cd.upf
Ag 107.87 Ag.upf
CELL_PARAMETERS angstrom
2.813 1.624 9.022
-2.813 1.624 9.022
0.000 -3.248 9.022
ATOMIC_POSITIONS crystal
Pm 0.000 0.000 0.000
Cd 0.143 0.143 0.143
Cd 0.857 0.857 0.857
Ag 0.081 0.588 0.588
Ag 0.334 0.334 0.334
Ag 0.412 0.412 0.919
Ag 0.412 0.919 0.412
Ag 0.500 0.500 0.500
Ag 0.588 0.081 0.588
Ag 0.588 0.588 0.081
Ag 0.666 0.666 0.666
Ag 0.919 0.412 0.412
! **SG**: R-3m, No. 166
! **V**: 247.2 Å³/cell
! **E**: -2.73 eV per atom
! **Spin magnetization**: 0.0 μB/cell
! **ΔH_f (0 K)**: -0.0430 eV/atom

---

# 2
! NaGaHgCl2, optimized geometry, DFT GGA-PBE; values from VASP
&SYSTEM
  ibrav = 0, nat = 5, ntyp = 4
/
ATOMIC_SPECIES
Na 22.99 Na.upf
Ga 69.72 Ga.upf
Hg 200.59 Hg.upf
Cl 35.45 Cl.upf
CELL_PARAMETERS angstrom
5.281 0.000 0.000
0.000 5.281 0.000
0.000 0.000 5.544
ATOMIC_POSITIONS crystal
Na 0.000 0.000 0.000
Ga 0.500 0.500 0.500
Hg 0.000 0.000 0.500
Cl 0.000 0.500 0.000
Cl 0.500 0.000 0.000
! **SG**: P4/mmm, No. 123
! **V**: 154.6 Å³/cell
! **E**: -2.32 eV per atom
! **Formation energy without anion corrections**: -3.3 eV per formula unit
! **Spin magnetization**: 0.0 μB/cell

---

# 3
! BTeF, optimized geometry, DFT GGA-PBE; values from VASP
&SYSTEM
  ibrav = 0, nat = 12, ntyp = 3
/
ATOMIC_SPECIES
B 10.81 B.upf
Te 127.60 Te.upf
F 19.00 F.upf
CELL_PARAMETERS angstrom
4.776 0.000 0.000
0.000 6.056 0.000
0.000 0.000 11.197
ATOMIC_POSITIONS crystal
B 0.084 0.013 0.308
B 0.416 0.987 0.808
B 0.584 0.487 0.692
B 0.916 0.513 0.192
Te 0.141 0.658 0.343
Te 0.359 0.342 0.843
Te 0.641 0.842 0.657
Te 0.859 0.158 0.157
F 0.199 0.142 0.392
F 0.301 0.858 0.892
F 0.699 0.358 0.608
F 0.801 0.642 0.108
! **SG**: P2_12_12_1, No. 19
! **V**: 323.9 Å³/cell
! **E**: -4.88 eV per atom
! **Formation energy without anion corrections**: -2.9 eV per formula unit
! **Spin magnetization**: 0.0 μB/cell